Record 1
## HfMn2Au (PBE)

Data for crystalline HfMn2Au at its relaxed geometry.

a b c (Å): 3.7965 4.0856 4.0856
angles (deg): 90.00 90.00 90.00
Positions (direct):
Hf 0.5000 0.0000 0.0000
Au 0.5000 0.5000 0.5000
Mn 0.0000 0.5000 0.0000
Mn 0.0000 0.0000 0.5000

Calculated values
energy relative to the elements	-0.4	eV/f.u.
uncorrected energy	-8.005	eV/atom
N(E_F)	0.719	states/eV/atom
mass density	12.7	g/cm3
ΔE to the lowest computed polymorph	0.0000	eV/atom
space-group type	P4/mmm (123)

=====

Record 2
## Mg2CoSn (PBE)

Data for crystalline Mg2CoSn at its relaxed geometry.

a b c (Å): 4.0407 4.0407 10.1912
angles (deg): 78.57 78.57 90.00
Positions (direct):
Sn 0.0000 0.0000 0.0000
Sn 0.7500 0.2500 0.5000
Co 0.2500 0.7500 0.5000
Co 0.5000 0.5000 0.0000
Mg 0.1444 0.6250 0.2500
Mg 0.3750 0.3944 0.7500
Mg 0.6056 0.1250 0.2500
Mg 0.8750 0.8556 0.7500

Calculated values
energy relative to the elements	1.4	eV/f.u.
uncorrected energy	-3.232	eV/atom
N(E_F)	0.866	states/eV/atom
mass density	4.7	g/cm3
space-group type	I-42d (122)

=====

Record 3
## CdPtF6 (PBE)

Data for crystalline CdPtF6 at its relaxed geometry.

a b c (Å): 5.2187 5.2187 9.9184
angles (deg): 90.00 90.00 120.00
Positions (direct):
F 0.6887 0.9908 0.8835
F 0.6887 0.6980 0.6165
F 0.6980 0.6887 0.1165
F 0.0093 0.3113 0.6165
F 0.3020 0.9908 0.6165
F 0.3113 0.3020 0.3835
F 0.9907 0.3020 0.1165
F 0.3113 0.0092 0.1165
F 0.6980 0.0092 0.3835
F 0.0093 0.6980 0.8835
F 0.9907 0.6887 0.3835
F 0.3020 0.3113 0.8835
Pt 0.0000 0.0000 0.0000
Pt 0.0000 0.0000 0.5000
Cd 0.3333 0.6667 0.2500
Cd 0.6667 0.3333 0.7500

Calculated values
uncorrected energy	-3.959	eV/atom
N(E_F)	0.000	states/eV/atom
mass density	6.0	g/cm3
space-group type	P-31c (163)

=====

Record 4
## Cr2AgAu (PBE)

Data for crystalline Cr2AgAu at its relaxed geometry.

a b c (Å): 2.7666 2.7666 8.8131
angles (deg): 90.00 90.00 113.34
Positions (direct):
Ag 0.0000 0.0000 0.4817
Cr 0.5000 0.5000 0.2144
Cr 0.0000 0.0000 0.0340
Au 0.5000 0.5000 0.7699

Calculated values
energy relative to the elements	1.2	eV/f.u.
uncorrected energy	-6.054	eV/atom
N(E_F)	0.486	states/eV/atom
mass density	11.0	g/cm3
ΔE to the lowest computed polymorph	0.1108	eV/atom
space-group type	Cmm2 (35)

=====

Record 5
## LiAgPb2Cl6 (PBE)

Data for crystalline LiAgPb2Cl6 at its relaxed geometry.

a b c (Å): 7.1253 7.1313 7.4687
angles (deg): 61.41 61.49 59.95
Positions (direct):
Li 0.3177 0.3178 0.0468
Cl 0.5868 0.1976 0.2484
Cl 0.6856 0.1092 0.7589
Cl 0.9679 0.5862 0.2472
Cl 0.1982 0.9677 0.2478
Cl 0.4467 0.6857 0.7580
Cl 0.1088 0.4471 0.7578
Pb 0.0163 0.0162 0.9510
Pb 0.5209 0.5208 0.4378
Ag 0.8125 0.8133 0.5615

Calculated values
uncorrected energy	-3.455	eV/atom
N(E_F)	0.000	states/eV/atom
mass density	4.5	g/cm3
space-group type	P1 (1)

=====

Record 6
## YSc2Rh (PBE)

Data for crystalline YSc2Rh at its relaxed geometry.

a b c (Å): 3.2101 4.5250 5.8929
angles (deg): 90.00 90.00 90.00
Positions (direct):
Sc 0.0000 0.0000 0.9739
Sc 0.0000 0.0000 0.5261
Rh 0.5000 0.5000 0.7500
Y 0.5000 0.5000 0.2500

Calculated values
energy relative to the elements	-0.8	eV/f.u.
uncorrected energy	-6.809	eV/atom
N(E_F)	1.035	states/eV/atom
mass density	5.5	g/cm3
ΔE to the lowest computed polymorph	0.3340	eV/atom
space-group type	Pmmm (47)

=====

Record 7
## Ce2Th2Si4Os (PBE)

Data for crystalline Ce2Th2Si4Os at its relaxed geometry.

a b c (Å): 6.4443 6.4443 6.4443
angles (deg): 102.39 113.12 113.12
Positions (direct):
Ce 0.0000 0.6763 0.6763
Ce 0.0000 0.3237 0.3237
Si 0.0000 0.2420 0.7580
Si 0.4841 0.2420 0.2420
Si 0.5159 0.7580 0.7580
Si 0.0000 0.7580 0.2420
Th 0.5000 0.7500 0.2500
Th 0.5000 0.2500 0.7500
Os 0.0000 0.0000 0.0000

Calculated values
uncorrected energy	-6.947	eV/atom
N(E_F)	1.271	states/eV/atom
mass density	8.5	g/cm3
space-group type	I4/mmm (139)

=====

Record 8
## KBa2Ir (PBE)

Data for crystalline KBa2Ir at its relaxed geometry.

a b c (Å): 5.7665 5.7665 5.7665
angles (deg): 60.00 60.00 60.00
Positions (direct):
Ba 0.7500 0.7500 0.7500
Ba 0.2500 0.2500 0.2500
K 0.0000 0.0000 0.0000
Ir 0.5000 0.5000 0.5000

Calculated values
energy relative to the elements	1.1	eV/f.u.
uncorrected energy	-3.181	eV/atom
N(E_F)	0.429	states/eV/atom
mass density	6.2	g/cm3
ΔE to the lowest computed polymorph	0.3158	eV/atom
space-group type	Fm-3m (225)

=====

Record 9
## KY2TiNb (PBE)

Data for crystalline KY2TiNb at its relaxed geometry.

a b c (Å): 5.3923 5.7131 5.3923
angles (deg): 90.00 90.00 90.00
Positions (direct):
Nb 0.0000 0.0000 0.0000
Y 0.0000 0.0000 0.5000
Y 0.5000 0.0000 0.0000
K 0.0000 0.5000 0.0000
Ti 0.5000 0.5000 0.5000

Calculated values
energy relative to the elements	7.1	eV/f.u.
uncorrected energy	-4.987	eV/atom
N(E_F)	1.763	states/eV/atom
mass density	3.6	g/cm3
space-group type	P4/mmm (123)

=====

Record 10
## SrTaCr2Ni (PBE)

Data for crystalline SrTaCr2Ni at its relaxed geometry.

a b c (Å): 4.8248 4.8084 4.8248
angles (deg): 90.00 90.00 90.00
Positions (direct):
Ni 0.0000 0.5000 0.0000
Sr 0.5000 0.5000 0.5000
Cr 0.5000 0.0000 0.0000
Cr 0.0000 0.0000 0.5000
Ta 0.0000 0.0000 0.0000

Calculated values
energy relative to the elements	4.8	eV/f.u.
uncorrected energy	-6.753	eV/atom
N(E_F)	0.957	states/eV/atom
mass density	6.4	g/cm3
space-group type	P4/mmm (123)

=====

Record 11
## AlTe2Pt (PBE)

Data for crystalline AlTe2Pt at its relaxed geometry.

a b c (Å): 5.2108 5.2108 3.1675
angles (deg): 90.00 90.00 89.98
Positions (direct):
Pt 0.0000 0.5000 0.5000
Te 0.0000 0.0000 0.0000
Te 0.5000 0.5000 0.0000
Al 0.5000 0.0000 0.5000

Calculated values
uncorrected energy	-3.862	eV/atom
N(E_F)	0.351	states/eV/atom
mass density	9.2	g/cm3
space-group type	P4/mmm (123)

=====

Record 12
## Pa4Ge5Au (PBE)

Data for crystalline Pa4Ge5Au at its relaxed geometry.

a b c (Å): 3.9755 10.5509 10.7482
angles (deg): 90.00 90.00 90.00
Positions (direct):
Pa 0.7524 0.2050 0.5000
Pa 0.7524 0.7950 0.5000
Pa 0.7446 0.5000 0.7381
Pa 0.2476 0.7050 0.0000
Pa 0.2554 0.0000 0.7619
Pa 0.2554 0.0000 0.2381
Pa 0.2476 0.2950 0.0000
Pa 0.7446 0.5000 0.2619
Ge 0.7475 0.8015 0.8131
Ge 0.2525 0.6985 0.3131
Ge 0.2514 0.0000 0.5000
Ge 0.2525 0.6985 0.6869
Ge 0.7475 0.1985 0.8131
Ge 0.7475 0.8015 0.1869
Ge 0.7486 0.5000 0.0000
Ge 0.2525 0.3015 0.6869
Ge 0.7475 0.1985 0.1869
Ge 0.2525 0.3015 0.3131
Au 0.8689 0.0000 0.0000
Au 0.1311 0.5000 0.5000

Calculated values
energy relative to the elements	-3.8	eV/f.u.
uncorrected energy	-6.818	eV/atom
N(E_F)	1.416	states/eV/atom
mass density	10.9	g/cm3
space-group type	Pmmn (59)

=====

Record order is preserved below.
Total magnetic moment: 1.222, 0.203, 0.000, 0.011, 0.000, 0.000, 0.169, 0.000, 0.048, 1.105, 0.000, 0.000 μB per atom